# BaAc12Co5, relaxed, DFT PBE-GGA
# Spin magnetization = 0.0 μB/cell
# Density of states at the Fermi level = 19.989 states/eV per cell
# Formation energy = 0.042 eV/atom
# Raw total energy = -86.00 eV per formula unit
data_BaAc12Co5
_space_group_name_H-M_alt 'P 1'
_space_group_IT_number 1
_space_group_name_Hall 'P 1'
_cell_length_a 7.472
_cell_length_b 7.484
_cell_length_c 13.881
_cell_angle_alpha 85.00
_cell_angle_beta 80.14
_cell_angle_gamma 60.09
loop_
_atom_site_label
_atom_site_fract_x
_atom_site_fract_y
_atom_site_fract_z
Ba1 0.000 0.000 0.000
Ac1 0.057 0.596 0.827
Ac2 0.141 0.328 0.572
Ac3 0.203 0.001 0.350
Ac4 0.423 0.546 0.094
Ac5 0.460 0.000 0.827
Ac6 0.469 0.672 0.572
Ac7 0.517 0.999 0.096
Ac8 0.552 0.327 0.353
Ac9 0.653 0.404 0.827
Ac10 0.813 0.000 0.574
Ac11 0.878 0.676 0.353
Ac12 0.971 0.452 0.095
Co1 0.174 0.670 0.464
Co2 0.348 0.332 0.959
Co3 0.509 0.001 0.464
Co4 0.681 0.667 0.959
Co5 0.843 0.331 0.464